(1)
VASP calculation (PBE) on La6PrSm2 after structural relaxation.

Results
Its density of states at the Fermi level is 15.246 states/eV/f.u. Its formation energy is 0.164 eV/atom.

Geometry as POSCAR:
```
La6PrSm2
1.0
4.6058 -7.6990 0.0000
4.6058 7.6990 0.0000
-3.1359 0.0000 9.4073
La Pr Sm
12 2 4
direct
0.0410 0.8383 0.5729
0.1617 0.9590 0.9271
0.2600 0.6004 0.0366
0.3083 0.3231 0.2492
0.3231 0.3083 0.7492
0.3996 0.7400 0.4634
0.6004 0.2600 0.5366
0.6769 0.6917 0.2508
0.6917 0.6769 0.7508
0.7400 0.3996 0.9634
0.8383 0.0410 0.0729
0.9590 0.1617 0.4271
0.1129 0.8871 0.2500
0.8871 0.1129 0.7500
0.0652 0.5312 0.6918
0.4688 0.9348 0.8082
0.5312 0.0652 0.1918
0.9348 0.4688 0.3082
```

***

(2)
VASP calculation (PBE) on La4Pr5Sm2 after structural relaxation.

Results
Its density of states at the Fermi level is 18.056 states/eV/f.u. Its formation energy is 0.068 eV/atom.

Geometry as POSCAR:
```
La4Pr5Sm2
1.0
9.1213 -1.8157 0.0000
9.1213 1.8157 0.0000
-0.9237 0.0000 12.0157
La Pr Sm
4 5 2
direct
0.0384 0.0384 0.2635
0.3586 0.3586 0.2027
0.6414 0.6414 0.7973
0.9616 0.9616 0.7365
0.0960 0.0960 0.5404
0.1784 0.1784 0.0736
0.5000 0.5000 0.0000
0.8216 0.8216 0.9264
0.9040 0.9040 0.4596
0.2836 0.2836 0.6389
0.7164 0.7164 0.3611
```